The following is a DFT calculation (GGA-PBE) of Tl5Te3 after structural relaxation.

Geometry as POSCAR:
```
Tl5Te3
1.0
-4.5123 4.5123 6.5528
4.5123 -4.5123 6.5528
4.5123 4.5123 -6.5528
Tl Te
10 6
Direct
0.0000 0.0000 0.0000
0.0077 0.5077 0.2030
0.1953 0.9923 0.5000
0.3047 0.8047 0.7970
0.4923 0.6953 0.5000
0.5000 0.5000 0.0000
0.5077 0.3047 0.5000
0.6953 0.1953 0.2030
0.8047 0.0077 0.5000
0.9923 0.4923 0.7970
0.1577 0.3423 0.5000
0.2500 0.2500 0.0000
0.3423 0.8423 0.1845
0.6577 0.1577 0.8155
0.7500 0.7500 0.0000
0.8423 0.6577 0.5000
```

As for the crystal system: tetragonal.


The following is a DFT calculation (GGA-PBE) of Tl3Te4 after structural relaxation.

Geometry as POSCAR:
```
Tl3Te4
1.0
5.0473 0.0000 0.0000
0.7885 5.1607 0.0000
1.2697 2.1803 20.2358
Tl Te
6 8
Direct
0.0000 0.0000 0.0000
0.0426 0.6066 0.1659
0.4863 0.8405 0.6541
0.6657 0.3486 0.5417
0.7468 0.2278 0.3140
0.8924 0.6825 0.8301
0.0748 0.4183 0.6813
0.1390 0.8080 0.4993
0.2038 0.3252 0.4335
0.3145 0.1113 0.7912
0.3311 0.8097 0.2914
0.4291 0.3704 0.9222
0.4882 0.0726 0.1688
0.5660 0.5402 0.0409
```

As for the crystal system: triclinic.


The following is a DFT calculation (GGA-PBE) of TlTe after structural relaxation.

Geometry as POSCAR:
```
TlTe
1.0
3.4863 0.0000 0.0000
0.0000 3.4863 0.0000
0.0000 0.0000 5.3082
Tl Te
1 1
Direct
0.0000 0.0000 0.0000
0.5000 0.5000 0.5000
```

As for the crystal system: tetragonal.


The following is a DFT calculation (GGA-PBE) of Tl5Te4 after structural relaxation.

Geometry as POSCAR:
```
Tl5Te4
1.0
6.2195 -5.8873 0.0000
6.2195 5.8873 0.0000
-1.1735 0.0000 4.2529
Tl Te
5 4
Direct
0.0000 0.0000 0.0000
0.2830 0.2830 0.2206
0.3399 0.6601 0.0000
0.6601 0.3399 0.0000
0.7170 0.7170 0.7794
0.0398 0.6577 0.4341
0.3423 0.9602 0.5659
0.6577 0.0398 0.4341
0.9602 0.3423 0.5659
```

As for the crystal system: monoclinic.


| no. | formation energy from raw total energies (eV/f.u.) |
| --- | --- |
| 1 | -2.2 |
| 2 | -1.0 |
| 3 | -0.2 |
| 4 | -1.6 |